(1)
The following is a PBE-GGA calculation of an optimized crystal structure of BaHg10Bi2, from the Alexandria database.

Cell: 10.406 8.461 7.898 Å, 78.93 52.93 48.14°
Fractional positions:
Ba (0.000, 0.000, 0.000)
Hg (0.000, 0.500, 0.000)
Hg (0.004, 0.354, 0.646)
Hg (0.283, 0.495, 0.505)
Hg (0.354, 0.004, 0.996)
Hg (0.495, 0.283, 0.717)
Hg (0.500, 0.000, 0.500)
Hg (0.505, 0.717, 0.283)
Hg (0.646, 0.996, 0.004)
Hg (0.717, 0.505, 0.495)
Hg (0.996, 0.646, 0.354)
Bi (0.000, 0.000, 0.500)
Bi (0.500, 0.500, 0.000)

- Total magnetic moment: 0.000 μB/f.u.
- Density of states at the Fermi level: 3.62 states/eV per cell
- DFT total energy: -1.0750 eV/atom
- V: 387 Å³ per cell

(2)
The following is a PBE-GGA calculation of an optimized crystal structure of Ba4Hg3Bi5, from the Alexandria database.

Cell: 5.662 9.531 10.194 Å, 116.23 102.58 92.22°
Fractional positions:
Ba (0.064, 0.411, 0.160)
Ba (0.273, 0.843, 0.604)
Ba (0.727, 0.157, 0.396)
Ba (0.936, 0.589, 0.840)
Hg (0.151, 0.887, 0.273)
Hg (0.500, 0.000, 0.000)
Hg (0.849, 0.113, 0.727)
Bi (0.000, 0.000, 0.000)
Bi (0.336, 0.433, 0.587)
Bi (0.420, 0.332, 0.852)
Bi (0.580, 0.668, 0.148)
Bi (0.664, 0.567, 0.413)

- Total magnetic moment: 0.000 μB/f.u.
- Density of states at the Fermi level: 1.91 states/eV per cell
- DFT total energy: -2.8897 eV/atom
- V: 476 Å³ per cell